# 1
Entry from Alexandria via LeMat-Bulk: Li2CrO3 after structural relaxation (PBEsol).

Lattice parameters (Å, degrees): 4.8450 5.4606 5.4606 60.68 90.00 90.00
Last column: nearest neighbours and their distance in Å.
Element x y z (fractional)
O 0.0768 0.9776 0.3279  1 Cr 1.72
O 0.5768 0.0224 0.6721  1 Cr 1.72
O 0.0768 0.6721 0.0224  1 Cr 1.72
O 0.1063 0.3649 0.6351  2 Cr 1.82-1.83, 2 Li 2.04
O 0.5768 0.3279 0.9776  1 Cr 1.72
O 0.6063 0.6351 0.3649  2 Cr 1.82-1.83, 2 Li 2.04
Li 0.9806 0.9948 0.6649  4 O 1.94-2.04
Li 0.4806 0.0052 0.3351  4 O 1.94-2.04
Li 0.9806 0.3351 0.0052  4 O 1.94-2.04
Li 0.4806 0.6649 0.9948  4 O 1.94-2.04
Cr 0.4818 0.3233 0.6767  4 O 1.72-1.83
Cr 0.9818 0.6767 0.3233  4 O 1.72-1.83

Summary:
The calculation puts the offset from the most stable computed form at 66.0 meV per atom. For the density, the calculation gives 3.00 g/cm³. Its size of the total moment is 0.335 μB/atom. The value obtained for the formation energy (no corrections) is -1.99 eV/atom.

# 2
Entry from Alexandria via LeMat-Bulk: Rb3DyF6 after structural relaxation (PBEsol).

Lattice parameters (Å, degrees): 6.7136 6.7136 6.7136 60.00 60.00 60.00
Last column: nearest neighbours and their distance in Å.
Element x y z (fractional)
F 0.7736 0.2264 0.2264  1 Dy 2.15
F 0.2264 0.7736 0.7736  1 Dy 2.15
F 0.7736 0.2264 0.7736  1 Dy 2.15
F 0.7736 0.7736 0.2264  1 Dy 2.15
F 0.2264 0.7736 0.2264  1 Dy 2.15
F 0.2264 0.2264 0.7736  1 Dy 2.15
Rb 0.2500 0.2500 0.2500  12 F 3.36
Rb 0.7500 0.7500 0.7500  12 F 3.36
Rb 0.5000 0.5000 0.5000  6 F 2.60
Dy 0.0000 0.0000 0.0000  6 F 2.15

Summary:
For the density, the calculation gives 4.14 g/cm³. Its size of the total moment is 0.015 μB/atom. The value obtained for the formation energy (no corrections) is -3.28 eV/atom.